## i
The following is a GGA-PBE calculation of an optimized crystal structure of Ta2VIrRh, from Alexandria.

Cell and atoms, written as CIF:
```
data_Ta2VIrRh
_chemical_formula_sum 'Ta2 V1 Ir1 Rh1'
_cell_length_a 4.5542
_cell_length_b 4.5542
_cell_length_c 4.3585
_cell_angle_alpha 90.00
_cell_angle_beta 90.00
_cell_angle_gamma 90.00
_space_group_name_H-M_alt 'P 4/m m m'
_space_group_IT_number 123
_space_group_name_Hall '-P 4 2'
loop_
_atom_site_label
_atom_site_fract_x
_atom_site_fract_y
_atom_site_fract_z
Ta1 0.0000 0.5000 0.0000
V1 0.0000 0.0000 0.0000
Ir1 0.5000 0.5000 0.5000
Rh1 0.0000 0.0000 0.5000
```

=====

## ii
The following is a GGA-PBE calculation of an optimized crystal structure of Ta2VIrRh, from Alexandria.

Cell and atoms, written as CIF:
```
data_Ta2VIrRh
_chemical_formula_sum 'Ta2 V1 Ir1 Rh1'
_cell_length_a 4.7697
_cell_length_b 4.7697
_cell_length_c 4.8504
_cell_angle_alpha 90.00
_cell_angle_beta 90.00
_cell_angle_gamma 90.00
_space_group_name_H-M_alt 'P 4/m m m'
_space_group_IT_number 123
_space_group_name_Hall '-P 4 2'
loop_
_atom_site_label
_atom_site_fract_x
_atom_site_fract_y
_atom_site_fract_z
Ta1 0.0000 0.5000 0.0000
V1 0.0000 0.0000 0.5000
Ir1 0.5000 0.5000 0.0000
Rh1 0.5000 0.5000 0.5000
```

=====

Quick one: most stable of them? i

=====

## i
The following is a GGA-PBE calculation of an optimized crystal structure of Tb3IrRh, from Alexandria.

Cell and atoms, written as CIF:
```
data_Tb3IrRh
_chemical_formula_sum 'Tb6 Ir2 Rh2'
_cell_length_a 4.0392
_cell_length_b 6.8892
_cell_length_c 8.8406
_cell_angle_alpha 90.00
_cell_angle_beta 90.00
_cell_angle_gamma 90.00
_space_group_name_H-M_alt 'P m m n'
_space_group_IT_number 59
loop_
_space_group_symop_operation_xyz
'x,y,z'
'-x,-y,-z'
'-x+1/2,-y+1/2,z'
'x+1/2,y+1/2,-z'
'x+1/2,-y,-z'
'-x+1/2,y,z'
'-x,y+1/2,-z'
'x,-y+1/2,z'
loop_
_atom_site_label
_atom_site_fract_x
_atom_site_fract_y
_atom_site_fract_z
Tb1 0.2500 0.0148 0.1706
Tb2 0.2500 0.2500 0.5510
Ir1 0.2500 0.7500 0.6642
Rh1 0.2500 0.2500 0.8906
```

=====

## ii
The following is a GGA-PBE calculation of an optimized crystal structure of Tb3IrRh, from Alexandria.

Cell and atoms, written as CIF:
```
data_Tb3IrRh
_chemical_formula_sum 'Tb6 Ir2 Rh2'
_cell_length_a 5.6456
_cell_length_b 5.7287
_cell_length_c 7.8665
_cell_angle_alpha 85.08
_cell_angle_beta 77.03
_cell_angle_gamma 75.98
_space_group_name_H-M_alt 'P -1'
_space_group_IT_number 2
_space_group_name_Hall '-P 1'
loop_
_atom_site_label
_atom_site_fract_x
_atom_site_fract_y
_atom_site_fract_z
Tb1 0.0598 0.2141 0.1123
Tb2 0.2035 0.1993 0.5315
Tb3 0.4336 0.6369 0.2042
Ir1 0.2746 0.6870 0.5711
Rh1 0.4291 0.8855 0.8549
```

=====

Quick one: most stable of them? ii

=====

## i
The following is a GGA-PBE calculation of an optimized crystal structure of Tb3Ir2Rh, from Alexandria.

Cell and atoms, written as CIF:
```
data_Tb3Ir2Rh
_chemical_formula_sum 'Tb6 Ir4 Rh2'
_cell_length_a 4.7874
_cell_length_b 14.3660
_cell_length_c 3.5581
_cell_angle_alpha 90.00
_cell_angle_beta 90.00
_cell_angle_gamma 90.00
_space_group_name_H-M_alt 'C m m m'
_space_group_IT_number 65
_space_group_name_Hall '-C 2 2'
loop_
_atom_site_label
_atom_site_fract_x
_atom_site_fract_y
_atom_site_fract_z
Tb1 0.0000 0.0000 0.0000
Tb2 0.0000 0.3324 0.0000
Ir1 0.0000 0.1661 0.5000
Rh1 0.0000 0.5000 0.5000
```

=====

## ii
The following is a GGA-PBE calculation of an optimized crystal structure of Tb3Ir2Rh, from Alexandria.

Cell and atoms, written as CIF:
```
data_Tb3Ir2Rh
_chemical_formula_sum 'Tb3 Ir2 Rh1'
_cell_length_a 3.4469
_cell_length_b 3.4469
_cell_length_c 10.3247
_cell_angle_alpha 90.00
_cell_angle_beta 90.00
_cell_angle_gamma 90.00
_space_group_name_H-M_alt 'P 4/m m m'
_space_group_IT_number 123
_space_group_name_Hall '-P 4 2'
loop_
_atom_site_label
_atom_site_fract_x
_atom_site_fract_y
_atom_site_fract_z
Tb1 0.0000 0.0000 0.0000
Tb2 0.0000 0.0000 0.3317
Ir1 0.5000 0.5000 0.1683
Rh1 0.5000 0.5000 0.5000
```

=====

Quick one: most stable of them? i

=====

## i
The following is a GGA-PBE calculation of an optimized crystal structure of TbThIrRh, from Alexandria.

Cell and atoms, written as CIF:
```
data_TbThIrRh
_chemical_formula_sum 'Tb4 Th4 Ir4 Rh4'
_cell_length_a 7.0334
_cell_length_b 7.0334
_cell_length_c 7.0334
_cell_angle_alpha 90.00
_cell_angle_beta 90.00
_cell_angle_gamma 90.00
_space_group_name_H-M_alt 'F -4 3 m'
_space_group_IT_number 216
_space_group_name_Hall 'F -4 2 3'
loop_
_atom_site_label
_atom_site_fract_x
_atom_site_fract_y
_atom_site_fract_z
Tb1 0.0000 0.0000 0.0000
Th1 0.0000 0.0000 0.5000
Ir1 0.2500 0.2500 0.7500
Rh1 0.2500 0.2500 0.2500
```

=====

## ii
The following is a GGA-PBE calculation of an optimized crystal structure of TbThIrRh, from Alexandria.

Cell and atoms, written as CIF:
```
data_TbThIrRh
_chemical_formula_sum 'Tb2 Th2 Ir2 Rh2'
_cell_length_a 4.3784
_cell_length_b 3.8137
_cell_length_c 10.7030
_cell_angle_alpha 90.00
_cell_angle_beta 90.00
_cell_angle_gamma 90.00
_space_group_name_H-M_alt 'A m m 2'
_space_group_IT_number 38
_space_group_name_Hall 'A 2 -2'
loop_
_atom_site_label
_atom_site_fract_x
_atom_site_fract_y
_atom_site_fract_z
Tb1 0.0000 0.0000 0.0000
Th1 0.5000 0.0000 0.2762
Ir1 0.5000 0.0000 0.5472
Rh1 0.0000 0.0000 0.7297
```

=====

Quick one: most stable of them? ii

=====

## i
The following is a GGA-PBE calculation of an optimized crystal structure of Tc2IrRh, from Alexandria.

Cell and atoms, written as CIF:
```
data_Tc2IrRh
_chemical_formula_sum 'Tc8 Ir4 Rh4'
_cell_length_a 5.4822
_cell_length_b 5.4913
_cell_length_c 8.1288
_cell_angle_alpha 70.29
_cell_angle_beta 89.94
_cell_angle_gamma 89.72
_space_group_name_H-M_alt 'P -1'
_space_group_IT_number 2
_space_group_name_Hall '-P 1'
loop_
_atom_site_label
_atom_site_fract_x
_atom_site_fract_y
_atom_site_fract_z
Tc1 0.1226 0.0662 0.1204
Tc2 0.1232 0.8109 0.6302
Tc3 0.3742 0.4360 0.8783
Tc4 0.3774 0.6853 0.3714
Ir1 0.1240 0.5616 0.1284
Ir2 0.1259 0.3128 0.6216
Rh1 0.3752 0.1855 0.3773
Rh2 0.3755 0.9392 0.8722
```

=====

## ii
The following is a GGA-PBE calculation of an optimized crystal structure of Tc2IrRh, from Alexandria.

Cell and atoms, written as CIF:
```
data_Tc2IrRh
_chemical_formula_sum 'Tc4 Ir2 Rh2'
_cell_length_a 9.1196
_cell_length_b 2.7192
_cell_length_c 4.7141
_cell_angle_alpha 90.00
_cell_angle_beta 99.74
_cell_angle_gamma 90.00
_space_group_name_H-M_alt 'C 1 2/m 1'
_space_group_IT_number 12
_space_group_name_Hall '-C 2y'
loop_
_atom_site_label
_atom_site_fract_x
_atom_site_fract_y
_atom_site_fract_z
Tc1 0.2484 0.0000 0.2481
Ir1 0.0000 0.5000 0.0000
Rh1 0.0000 0.0000 0.5000
```

=====

## iii
The following is a GGA-PBE calculation of an optimized crystal structure of Tc2IrRh, from Alexandria.

Cell and atoms, written as CIF:
```
data_Tc2IrRh
_chemical_formula_sum 'Tc4 Ir2 Rh2'
_cell_length_a 9.0433
_cell_length_b 2.7093
_cell_length_c 4.7754
_cell_angle_alpha 90.00
_cell_angle_beta 99.60
_cell_angle_gamma 90.00
_space_group_name_H-M_alt 'C 1 m 1'
_space_group_IT_number 8
_space_group_name_Hall 'C -2y'
loop_
_atom_site_label
_atom_site_fract_x
_atom_site_fract_y
_atom_site_fract_z
Tc1 0.0000 0.0000 0.0000
Tc2 0.2497 0.0000 0.7398
Ir1 0.2453 0.5000 0.2334
Rh1 0.0007 0.5000 0.5016
```

=====

Quick one: most stable of them? i

=====

## i
The following is a GGA-PBE calculation of an optimized crystal structure of Tc2IrRh, from Alexandria.

Cell and atoms, written as CIF:
```
data_Tc2IrRh
_chemical_formula_sum 'Tc2 Ir1 Rh1'
_cell_length_a 2.7062
_cell_length_b 2.7062
_cell_length_c 7.8519
_cell_angle_alpha 90.00
_cell_angle_beta 90.00
_cell_angle_gamma 90.00
_space_group_name_H-M_alt 'P 4/m m m'
_space_group_IT_number 123
_space_group_name_Hall '-P 4 2'
loop_
_atom_site_label
_atom_site_fract_x
_atom_site_fract_y
_atom_site_fract_z
Tc1 0.0000 0.0000 0.2501
Ir1 0.5000 0.5000 0.0000
Rh1 0.5000 0.5000 0.5000
```

=====

## ii
The following is a GGA-PBE calculation of an optimized crystal structure of Tc2IrRh, from Alexandria.

Cell and atoms, written as CIF:
```
data_Tc2IrRh
_chemical_formula_sum 'Tc2 Ir1 Rh1'
_cell_length_a 3.2677
_cell_length_b 3.2677
_cell_length_c 5.5317
_cell_angle_alpha 90.00
_cell_angle_beta 90.00
_cell_angle_gamma 90.00
_space_group_name_H-M_alt 'P 4 m m'
_space_group_IT_number 99
_space_group_name_Hall 'P 4 -2'
loop_
_atom_site_label
_atom_site_fract_x
_atom_site_fract_y
_atom_site_fract_z
Tc1 0.0000 0.0000 0.0000
Tc2 0.5000 0.5000 0.2562
Ir1 0.0000 0.0000 0.5057
Rh1 0.5000 0.5000 0.7500
```

=====

## iii
The following is a GGA-PBE calculation of an optimized crystal structure of Tc2IrRh, from Alexandria.

Cell and atoms, written as CIF:
```
data_Tc2IrRh
_chemical_formula_sum 'Tc2 Ir1 Rh1'
_cell_length_a 2.7270
_cell_length_b 4.3700
_cell_length_c 4.8055
_cell_angle_alpha 90.00
_cell_angle_beta 90.00
_cell_angle_gamma 90.00
_space_group_name_H-M_alt 'P m m 2'
_space_group_IT_number 25
_space_group_name_Hall 'P 2 -2'
loop_
_atom_site_label
_atom_site_fract_x
_atom_site_fract_y
_atom_site_fract_z
Tc1 0.0000 0.0000 0.0000
Tc2 0.0000 0.5000 0.3261
Ir1 0.5000 0.5000 0.8284
Rh1 0.5000 0.0000 0.4949
```

=====

## iv
The following is a GGA-PBE calculation of an optimized crystal structure of Tc2IrRh, from Alexandria.

Cell and atoms, written as CIF:
```
data_Tc2IrRh
_chemical_formula_sum 'Tc4 Ir2 Rh2'
_cell_length_a 3.8898
_cell_length_b 3.8898
_cell_length_c 7.6113
_cell_angle_alpha 90.00
_cell_angle_beta 90.00
_cell_angle_gamma 90.00
_space_group_name_H-M_alt 'I -4 m 2'
_space_group_IT_number 119
_space_group_name_Hall 'I -4 -2'
loop_
_atom_site_label
_atom_site_fract_x
_atom_site_fract_y
_atom_site_fract_z
Tc1 0.0000 0.0000 0.0000
Tc2 0.0000 0.5000 0.2500
Ir1 0.0000 0.5000 0.7500
Rh1 0.0000 0.0000 0.5000
```

=====

Quick one: most stable of them? iii